A relaxed structure of Tl2InCuBr6, computed with GGA-PBE.

Cell and atoms, written as CIF:
```
data_Tl2InCuBr6
_chemical_formula_sum 'Tl2 In1 Cu1 Br6'
_cell_length_a 7.240
_cell_length_b 7.462
_cell_length_c 7.802
_cell_angle_alpha 97.56
_cell_angle_beta 113.91
_cell_angle_gamma 115.43
_symmetry_space_group_name_H-M 'P 1'
_symmetry_Int_Tables_number 1
loop_
_symmetry_equiv_pos_as_xyz
'x,y,z'
loop_
_atom_site_label
_atom_site_type_symbol
_atom_site_fract_x
_atom_site_fract_y
_atom_site_fract_z
_atom_site_occupancy
Tl1 Tl 0.031 0.285 0.272 1
Tl2 Tl 0.969 0.715 0.728 1
In1 In 0.500 0.000 0.500 1
Cu1 Cu 0.500 0.500 0.000 1
Br1 Br 0.028 0.821 0.321 1
Br2 Br 0.375 0.686 0.142 1
Br3 Br 0.476 0.723 0.694 1
Br4 Br 0.524 0.277 0.306 1
Br5 Br 0.625 0.314 0.858 1
Br6 Br 0.972 0.179 0.679 1
```

* space-group type: P-1
* uncorrected energy: -2.85 eV per atom
* energy relative to the elements, uncorrected: -668 kJ/mol of formula units
* magnetization: 0.00 Bohr magnetons per cell

=====

A relaxed structure of Li5Mg2Al, computed with GGA-PBE.

Cell and atoms, written as CIF:
```
data_Li5Mg2Al
_chemical_formula_sum 'Li10 Mg4 Al2'
_cell_length_a 4.759
_cell_length_b 4.759
_cell_length_c 13.052
_cell_angle_alpha 90.00
_cell_angle_beta 90.00
_cell_angle_gamma 90.00
_symmetry_space_group_name_H-M 'P 1'
_symmetry_Int_Tables_number 1
loop_
_symmetry_equiv_pos_as_xyz
'x,y,z'
loop_
_atom_site_label
_atom_site_type_symbol
_atom_site_fract_x
_atom_site_fract_y
_atom_site_fract_z
_atom_site_occupancy
Li1 Li 0.000 0.000 0.000 1
Li2 Li 0.000 0.500 0.113 1
Li3 Li 0.000 0.500 0.387 1
Li4 Li 0.000 0.500 0.613 1
Li5 Li 0.000 0.500 0.887 1
Li6 Li 0.500 0.000 0.113 1
Li7 Li 0.500 0.000 0.387 1
Li8 Li 0.500 0.000 0.613 1
Li9 Li 0.500 0.000 0.887 1
Li10 Li 0.500 0.500 0.500 1
Mg1 Mg 0.000 0.000 0.260 1
Mg2 Mg 0.000 0.000 0.740 1
Mg3 Mg 0.500 0.500 0.240 1
Mg4 Mg 0.500 0.500 0.760 1
Al1 Al 0.000 0.000 0.500 1
Al2 Al 0.500 0.500 0.000 1
```

* space-group type: I4/mmm
* uncorrected energy: -2.14 eV per atom
* formation energy: -0.082 eV per atom
* magnetization: 0.00 Bohr magnetons per cell

=====

A relaxed structure of NpCdCuO5, computed with GGA-PBE.

Cell and atoms, written as CIF:
```
data_NpCdCuO5
_chemical_formula_sum 'Np2 Cd2 Cu2 O10'
_cell_length_a 5.845
_cell_length_b 5.845
_cell_length_c 8.097
_cell_angle_alpha 107.98
_cell_angle_beta 107.98
_cell_angle_gamma 94.47
_symmetry_space_group_name_H-M 'P 1'
_symmetry_Int_Tables_number 1
loop_
_symmetry_equiv_pos_as_xyz
'x,y,z'
loop_
_atom_site_label
_atom_site_type_symbol
_atom_site_fract_x
_atom_site_fract_y
_atom_site_fract_z
_atom_site_occupancy
Np1 Np 0.000 0.500 0.000 1
Np2 Np 0.500 0.000 0.500 1
Cd1 Cd 0.074 0.926 0.750 1
Cd2 Cd 0.926 0.074 0.250 1
Cu1 Cu 0.449 0.551 0.750 1
Cu2 Cu 0.551 0.449 0.250 1
O1 O 0.174 0.634 0.864 1
O2 O 0.182 0.818 0.250 1
O3 O 0.251 0.291 0.048 1
O4 O 0.291 0.251 0.548 1
O5 O 0.366 0.826 0.636 1
O6 O 0.634 0.174 0.364 1
O7 O 0.709 0.749 0.452 1
O8 O 0.749 0.709 0.952 1
O9 O 0.818 0.182 0.750 1
O10 O 0.826 0.366 0.136 1
```

* space-group type: C2/c
* uncorrected energy: -7.06 eV per atom
* energy relative to the elements, uncorrected: -1326 kJ/mol of formula units
* magnetization: 0.04 Bohr magnetons per cell

=====

A relaxed structure of Rb4Ce3ErSe8, computed with GGA-PBE.

Cell and atoms, written as CIF:
```
data_Rb4Ce3ErSe8
_chemical_formula_sum 'Rb4 Ce3 Er1 Se8'
_cell_length_a 9.445
_cell_length_b 9.445
_cell_length_c 9.445
_cell_angle_alpha 55.03
_cell_angle_beta 55.03
_cell_angle_gamma 55.03
_symmetry_space_group_name_H-M 'P 1'
_symmetry_Int_Tables_number 1
loop_
_symmetry_equiv_pos_as_xyz
'x,y,z'
loop_
_atom_site_label
_atom_site_type_symbol
_atom_site_fract_x
_atom_site_fract_y
_atom_site_fract_z
_atom_site_occupancy
Rb1 Rb 0.000 0.000 0.000 1
Rb2 Rb 0.000 0.500 0.500 1
Rb3 Rb 0.500 0.000 0.500 1
Rb4 Rb 0.500 0.500 0.000 1
Ce1 Ce 0.000 0.000 0.500 1
Ce2 Ce 0.000 0.500 0.000 1
Ce3 Ce 0.500 0.000 0.000 1
Er1 Er 0.500 0.500 0.500 1
Se1 Se 0.234 0.234 0.234 1
Se2 Se 0.242 0.728 0.728 1
Se3 Se 0.272 0.272 0.758 1
Se4 Se 0.272 0.758 0.272 1
Se5 Se 0.728 0.242 0.728 1
Se6 Se 0.728 0.728 0.242 1
Se7 Se 0.758 0.272 0.272 1
Se8 Se 0.766 0.766 0.766 1
```

* space-group type: R-3m
* uncorrected energy: -5.06 eV per atom
* energy relative to the elements, uncorrected: -2594 kJ/mol of formula units
* magnetization: 3.01 Bohr magnetons per cell

=====

A relaxed structure of TmGaPb2, computed with GGA-PBE.

Cell and atoms, written as CIF:
```
data_TmGaPb2
_chemical_formula_sum 'Tm1 Ga1 Pb2'
_cell_length_a 4.030
_cell_length_b 4.030
_cell_length_c 6.515
_cell_angle_alpha 90.00
_cell_angle_beta 90.00
_cell_angle_gamma 90.00
_symmetry_space_group_name_H-M 'P 1'
_symmetry_Int_Tables_number 1
loop_
_symmetry_equiv_pos_as_xyz
'x,y,z'
loop_
_atom_site_label
_atom_site_type_symbol
_atom_site_fract_x
_atom_site_fract_y
_atom_site_fract_z
_atom_site_occupancy
Tm1 Tm 0.000 0.000 0.000 1
Ga1 Ga 0.000 0.000 0.500 1
Pb1 Pb 0.500 0.500 0.258 1
Pb2 Pb 0.500 0.500 0.742 1
```

* space-group type: P4/mmm
* uncorrected energy: -3.88 eV per atom
* formation energy: -0.149 eV per atom
* magnetization: 0.00 Bohr magnetons per cell

=====

A relaxed structure of Ac2AsP, computed with GGA-PBE.

Cell and atoms, written as CIF:
```
data_Ac2AsP
_chemical_formula_sum 'Ac4 As2 P2'
_cell_length_a 4.498
_cell_length_b 6.365
_cell_length_c 9.008
_cell_angle_alpha 90.00
_cell_angle_beta 90.00
_cell_angle_gamma 90.00
_symmetry_space_group_name_H-M 'P 1'
_symmetry_Int_Tables_number 1
loop_
_symmetry_equiv_pos_as_xyz
'x,y,z'
loop_
_atom_site_label
_atom_site_type_symbol
_atom_site_fract_x
_atom_site_fract_y
_atom_site_fract_z
_atom_site_occupancy
Ac1 Ac 0.250 0.250 0.120 1
Ac2 Ac 0.250 0.250 0.630 1
Ac3 Ac 0.750 0.750 0.370 1
Ac4 Ac 0.750 0.750 0.880 1
As1 As 0.250 0.750 0.626 1
As2 As 0.750 0.250 0.374 1
P1 P 0.250 0.750 0.124 1
P2 P 0.750 0.250 0.876 1
```

* space-group type: Pmmn
* uncorrected energy: -6.04 eV per atom
* formation energy: -1.474 eV per atom
* magnetization: 0.00 Bohr magnetons per cell